[1]
NaSnSb | PBE | optimized geometry

The structure in POSCAR format:
```
NaSnSb
1.0
-3.120 0.560 -4.162
-2.989 -3.991 -1.584
-5.190 0.207 0.630
Sb Sn Na
1 1 1
Direct
0.250 0.250 0.250 Sb
0.000 0.000 0.000 Sn
0.500 0.500 0.500 Na
```

Properties
Its total magnetization is 0.00 μB/f.u. Its uncorrected formation energy is -0.11 eV per atom. As for the total energy: -3.26 eV/atom.

***

[2]
Ca3PPd9Au2 | PBE | optimized geometry

The structure in POSCAR format:
```
Ca3PPd9Au2
1.0
-2.819 -3.843 -5.491
6.378 -1.944 2.900
-3.412 -4.198 4.690
Ca P Pd Au
3 1 9 2
Direct
0.333 0.667 0.684 Ca
0.000 0.000 0.000 Ca
0.667 0.333 0.316 Ca
0.000 0.000 0.500 P
0.865 0.135 0.697 Pd
0.865 0.729 0.697 Pd
0.271 0.135 0.697 Pd
0.729 0.865 0.303 Pd
0.135 0.271 0.303 Pd
0.135 0.865 0.303 Pd
0.500 0.000 0.000 Pd
0.000 0.500 0.000 Pd
0.500 0.500 0.000 Pd
0.333 0.667 0.240 Au
0.667 0.333 0.760 Au
```

Properties
Its total magnetization is 0.00 μB/f.u. As for the total energy: -4.58 eV/atom. The value obtained for the energy of formation from the pure elements is -0.268 eV/atom.

***

[3]
SmEr4Al2 | PBE | optimized geometry

The structure in POSCAR format:
```
SmEr4Al2
1.0
-2.618 -4.527 -0.644
2.044 -4.506 1.810
-3.770 -1.907 7.181
Al Sm Er
2 1 4
Direct
0.718 0.718 0.846 Al
0.282 0.282 0.154 Al
0.000 0.000 0.000 Sm
0.846 0.846 0.461 Er
0.154 0.154 0.539 Er
0.580 0.580 0.260 Er
0.420 0.420 0.740 Er
```

Properties
Its total magnetization is 0.00 μB/f.u. As for the total energy: -4.56 eV/atom. The value obtained for the energy of formation from the pure elements is -0.209 eV/atom.

***

[4]
UCuHgAu | PBE | optimized geometry

The structure in POSCAR format:
```
UCuHgAu
1.0
-0.222 -1.009 -4.759
-4.207 -1.433 -1.992
-2.407 2.976 -3.011
Au U Hg Cu
1 1 1 1
Direct
0.750 0.750 0.750 Au
0.500 0.500 0.500 U
0.000 0.000 0.000 Hg
0.250 0.250 0.250 Cu
```

Properties
Its total magnetization is 2.34 μB/f.u. As for the total energy: -4.63 eV/atom. The value obtained for the energy of formation from the pure elements is 0.115 eV/atom.

***

Number 1: theoretical density 4.3 g/cm³. Number 2: theoretical density 7.6 g/cm³. Number 3: theoretical density 7.8 g/cm³. Number 4: theoretical density 14.2 g/cm³.